First-principles (PBE) data for YMgCl2 after structural relaxation, as listed in the Alexandria database. Values from VASP.

Geometry as Quantum ESPRESSO input:
```
&SYSTEM
  ibrav = 0, nat = 4, ntyp = 3
/
ATOMIC_SPECIES
Cl 35.45 Cl.upf
Mg 24.30 Mg.upf
Y 88.91 Y.upf
CELL_PARAMETERS angstrom
-0.831 2.802 2.546
0.442 -2.455 2.846
6.806 0.389 1.793
ATOMIC_POSITIONS angstrom
Cl 0.471 -1.960 2.311
Cl 1.875 1.165 2.280
Mg 3.160 -1.315 2.479
Y 4.976 -0.643 5.282
```

VASP energy, eV per atom: -4.138